1.
VASP calculation (PBE-GGA) on a relaxed structure of Zr6ScN8.

Cell lengths 6.4610, 6.4610, 6.4610 Å; angles 60.00, 60.00, 60.00 degrees
Last column: nearest neighbours and their distance in Å.
Element x y z (fractional)
Zr 0.0000 0.0000 0.5000  6 N 2.28-2.29
Zr 0.0000 0.5000 0.0000  6 N 2.28-2.29
Zr 0.0000 0.5000 0.5000  6 N 2.28-2.29
Zr 0.5000 0.0000 0.0000  6 N 2.28-2.29
Zr 0.5000 0.0000 0.5000  6 N 2.28-2.29
Zr 0.5000 0.5000 0.0000  6 N 2.28-2.29
Sc 0.0000 0.0000 0.0000  6 N 2.20
N 0.2410 0.2410 0.7590  1 Sc 2.20, 4 Zr 2.29
N 0.2410 0.7590 0.2410  1 Sc 2.20, 4 Zr 2.29
N 0.2410 0.7590 0.7590  1 Sc 2.20, 4 Zr 2.29
N 0.2500 0.2500 0.2500  6 Zr 2.28
N 0.7500 0.7500 0.7500  6 Zr 2.28
N 0.7590 0.2410 0.2410  1 Sc 2.20, 4 Zr 2.29
N 0.7590 0.2410 0.7590  1 Sc 2.20, 4 Zr 2.29
N 0.7590 0.7590 0.2410  1 Sc 2.20, 4 Zr 2.29

space group: No. 225
formation energy (no corrections): -1.6295 eV/atom
calculated total energy: -9.911 eV/atom
V: 12.714 Å³/atom

***

2.
VASP calculation (PBE-GGA) on a relaxed structure of Zr3Sc2N4.

Cell lengths 3.2454, 3.2454, 13.1387 Å; angles 90.05, 90.05, 59.98 degrees
Last column: nearest neighbours and their distance in Å.
Element x y z (fractional)
Zr 0.0000 0.0000 0.0000  6 N 2.28
Zr 0.3343 0.3343 0.3977  3 N 2.28
Zr 0.6657 0.6657 0.6023  3 N 2.28
Sc 0.3328 0.3328 0.7984  6 N 2.27-2.31
Sc 0.6672 0.6672 0.2016  6 N 2.27-2.31
N 0.0008 0.0008 0.2987  3 Sc 2.27, 3 Zr 2.28
N 0.3335 0.3335 0.0987  3 Zr 2.28, 3 Sc 2.31
N 0.6665 0.6665 0.9013  3 Zr 2.28, 3 Sc 2.31
N 0.9992 0.9992 0.7013  3 Sc 2.27, 3 Zr 2.28

space group: No. 12
formation energy (no corrections): -1.6259 eV/atom
calculated total energy: -9.582 eV/atom
V: 13.313 Å³/atom

***

3.
VASP calculation (PBE-GGA) on a relaxed structure of ZrSc8N6.

Cell lengths 8.5744, 8.5744, 8.5744 Å; angles 38.13, 38.13, 38.13 degrees
Last column: nearest neighbours and their distance in Å.
Element x y z (fractional)
Zr 0.0000 0.0000 0.0000  6 N 2.31
Sc 0.1047 0.4407 0.7695  3 N 2.17-2.20
Sc 0.2305 0.8953 0.5593  3 N 2.17-2.20
Sc 0.3334 0.3334 0.3334  6 N 2.30-2.31
Sc 0.4407 0.7695 0.1047  3 N 2.17-2.20
Sc 0.5593 0.2305 0.8953  3 N 2.17-2.20
Sc 0.6666 0.6666 0.6666  6 N 2.30-2.31
Sc 0.7695 0.1047 0.4407  3 N 2.17-2.20
Sc 0.8953 0.5593 0.2305  3 N 2.17-2.20
N 0.0570 0.7224 0.3915  5 Sc 2.17-2.31, 1 Zr 2.31
N 0.2776 0.6085 0.9430  5 Sc 2.17-2.31, 1 Zr 2.31
N 0.3915 0.0570 0.7224  5 Sc 2.17-2.31, 1 Zr 2.31
N 0.6085 0.9430 0.2776  5 Sc 2.17-2.31, 1 Zr 2.31
N 0.7224 0.3915 0.0570  5 Sc 2.17-2.31, 1 Zr 2.31
N 0.9430 0.2776 0.6085  5 Sc 2.17-2.31, 1 Zr 2.31

space group: No. 148
formation energy (no corrections): -1.5514 eV/atom
calculated total energy: -8.828 eV/atom
V: 14.382 Å³/atom

***

4.
VASP calculation (PBE-GGA) on a relaxed structure of ZrScN.

Cell lengths 6.3392, 6.3392, 6.3392 Å; angles 151.46, 126.82, 61.45 degrees
Last column: nearest neighbours and their distance in Å.
Element x y z (fractional)
Zr 0.2367 0.2367 0.0000  2 N 2.18
Zr 0.7633 0.7633 0.0000  2 N 2.18
Sc 0.2656 0.5000 0.7656  4 N 2.46, 1 Sc 2.66
Sc 0.7344 0.5000 0.2344  4 N 2.46, 1 Sc 2.66
N 0.3762 0.8762 0.5000  2 Zr 2.18
N 0.6238 0.1238 0.5000  2 Zr 2.18

space group: No. 71
formation energy (no corrections): -0.7226 eV/atom
calculated total energy: -8.458 eV/atom
V: 16.104 Å³/atom

***

5.
VASP calculation (PBE-GGA) on a relaxed structure of ZrSc2N.

Cell lengths 4.5097, 9.9833, 3.2746 Å; angles 90.00, 90.00, 90.00 degrees
Last column: nearest neighbours and their distance in Å.
Element x y z (fractional)
Zr 0.2500 0.2500 0.2443  2 N 2.25
Zr 0.7500 0.7500 0.7557  2 N 2.25
Sc 0.2500 0.5970 0.2547  2 N 2.24
Sc 0.2500 0.9030 0.2547  2 N 2.24
Sc 0.7500 0.0970 0.7453  2 N 2.24
Sc 0.7500 0.4030 0.7453  2 N 2.24
N 0.2500 0.7500 0.7552  4 Sc 2.24, 2 Zr 2.25
N 0.7500 0.2500 0.2448  4 Sc 2.24, 2 Zr 2.25

space group: No. 59
formation energy (no corrections): -0.8960 eV/atom
calculated total energy: -8.280 eV/atom
V: 18.428 Å³/atom

***

6.
VASP calculation (PBE-GGA) on a relaxed structure of Zr2ScN.

Cell lengths 6.2629, 6.2629, 6.2629 Å; angles 116.71, 116.71, 95.80 degrees
Last column: nearest neighbours and their distance in Å.
Element x y z (fractional)
Zr 0.3750 0.2323 0.3573  2 N 2.07
Zr 0.7677 0.1250 0.1427  2 N 2.07
Zr 0.8750 0.0177 0.6427  2 N 2.07
Zr 0.9823 0.6250 0.8573  2 N 2.07
Sc 0.2500 0.7500 0.5000  8 Zr 3.23-3.62
Sc 0.5000 0.5000 0.0000  8 Zr 3.23-3.62
N 0.0000 0.0000 0.0000  4 Zr 2.07
N 0.7500 0.2500 0.5000  4 Zr 2.07

space group: No. 122
formation energy (no corrections): -0.3407 eV/atom
calculated total energy: -8.279 eV/atom
V: 22.666 Å³/atom

***

7.
VASP calculation (PBE-GGA) on a relaxed structure of ZrScN.

Cell lengths 3.2030, 3.2030, 10.8407 Å; angles 90.00, 90.00, 120.00 degrees
Last column: nearest neighbours and their distance in Å.
Element x y z (fractional)
Zr 0.0000 0.0000 0.0000  6 N 2.33
Zr 0.0000 0.0000 0.5000  6 Zr 3.20, 6 Sc 3.38
Sc 0.6667 0.3333 0.2388  3 N 2.19
Sc 0.6667 0.3333 0.7612  3 N 2.19
N 0.3333 0.6667 0.1314  3 Sc 2.19, 3 Zr 2.33
N 0.3333 0.6667 0.8686  3 Sc 2.19, 3 Zr 2.33

space group: No. 187
formation energy (no corrections): -1.2315 eV/atom
calculated total energy: -8.966 eV/atom
V: 16.052 Å³/atom

***

8.
VASP calculation (PBE-GGA) on a relaxed structure of ZrSc3N.

Cell lengths 4.5574, 4.5574, 4.5574 Å; angles 90.00, 90.00, 90.00 degrees
Last column: nearest neighbours and their distance in Å.
Element x y z (fractional)
Zr 0.0000 0.0000 0.0000  12 Sc 3.22
Sc 0.0000 0.5000 0.5000  2 N 2.28
Sc 0.5000 0.0000 0.5000  2 N 2.28
Sc 0.5000 0.5000 0.0000  2 N 2.28
N 0.5000 0.5000 0.5000  6 Sc 2.28

space group: No. 221
formation energy (no corrections): -0.5746 eV/atom
calculated total energy: -7.748 eV/atom
V: 18.932 Å³/atom

***

Look up the calculated total energy of the seventh one.
-8.966 eV/atom